Here is crystalline SiAgOs2 at its relaxed geometry from Alexandria. Energies are from PBE.

Cell lengths 2.9423, 2.9423, 6.7414 Å; angles 90.00, 90.00, 90.00 degrees
Last column: nearest neighbours and their distance in Å.
Sites, in units of the cell vectors:
Si  0.0000  0.0000  0.0000  8 Os 2.49
Ag  0.0000  0.0000  0.5000  8 Os 2.89, 4 Ag 2.94
Os  0.5000  0.5000  0.2018  4 Si 2.49, 1 Os 2.72
Os  0.5000  0.5000  0.7982  4 Si 2.49, 1 Os 2.72

## Properties
Its electronic total energy is -7.44 eV/atom.

=====

Here is crystalline SiAg2Os at its relaxed geometry from Alexandria. Energies are from PBE.

Cell lengths 9.4486, 9.4486, 9.4486 Å; angles 17.07, 17.07, 17.07 degrees
Last column: nearest neighbours and their distance in Å.
Sites, in units of the cell vectors:
Si  0.0000  0.0000  0.0000  6 Ag 2.78, 6 Si 2.81
Ag  0.2524  0.2524  0.2524  3 Si 2.78, 6 Ag 2.81, 3 Os 2.89
Ag  0.7476  0.7476  0.7476  3 Si 2.78, 6 Ag 2.81, 3 Os 2.89
Os  0.5000  0.5000  0.5000  6 Os 2.81, 6 Ag 2.89

## Properties
Its electronic total energy is -5.07 eV/atom.